Below is K2CaSnMo after structural relaxation, with properties calculated at the PBE-GGA level.

* formation energy: 4.157 eV per formula unit
* symmetry: P4/mmm (123)

The structure in POSCAR format:
```
K2CaSnMo
1.0
-1.965 -3.143 5.457
-2.669 -3.552 -3.007
5.375 -3.816 -0.263
K Mo Ca Sn
2 1 1 1
Direct
0.000 0.000 0.500
0.500 0.000 0.000
0.000 0.500 0.000
0.500 0.500 0.500
0.000 0.000 0.000
```

=====

Below is K2CaTeMo after structural relaxation, with properties calculated at the PBE-GGA level.

* symmetry: P4/mmm (123)

The structure in POSCAR format:
```
K2CaTeMo
1.0
-2.659 -6.744 -0.765
3.775 -1.026 -4.083
4.731 -2.431 4.985
K Mo Te Ca
2 1 1 1
Direct
0.000 0.000 0.500
0.500 0.000 0.000
0.500 0.500 0.500
0.000 0.500 0.000
0.000 0.000 0.000
```

=====

Below is K2CaVMo after structural relaxation, with properties calculated at the PBE-GGA level.

* formation energy: 8.967 eV per formula unit
* symmetry: P4/mmm (123)

The structure in POSCAR format:
```
K2CaVMo
1.0
6.271 0.000 0.000
0.000 6.016 0.000
0.000 0.000 6.271
K Mo Ca V
2 1 1 1
Direct
0.000 0.000 0.500
0.500 0.000 0.000
0.500 0.500 0.500
0.000 0.500 0.000
0.000 0.000 0.000
```

=====

Below is KCaN3 after structural relaxation, with properties calculated at the PBE-GGA level.

* symmetry: Pm-3m (221)

The structure in POSCAR format:
```
KCaN3
1.0
-2.805 2.072 3.116
-2.811 -3.737 -0.046
2.470 -1.901 3.487
Ca K N
1 1 3
Direct
0.000 0.000 0.000
0.500 0.500 0.500
0.000 0.500 0.000
0.000 0.000 0.500
0.500 0.000 0.000
```

=====

Below is K2Ca4N after structural relaxation, with properties calculated at the PBE-GGA level.

* symmetry: I4/mmm (139)

The structure in POSCAR format:
```
K2Ca4N
1.0
4.961 0.000 0.000
0.000 4.961 0.000
2.481 2.481 12.078
Ca K N
4 2 1
Direct
0.901 0.901 0.198
0.099 0.099 0.802
0.000 0.500 0.000
0.500 0.000 0.000
0.691 0.691 0.619
0.309 0.309 0.381
0.000 0.000 0.000
```

=====

Below is K3CaN after structural relaxation, with properties calculated at the PBE-GGA level.

* symmetry: Pm-3m (221)
* E above lowest polymorph: 0.00 eV per formula unit

The structure in POSCAR format:
```
K3CaN
1.0
-4.391 -3.750 0.956
3.689 -4.493 -0.680
1.169 0.093 5.734
Ca K N
1 3 1
Direct
0.500 0.500 0.500
0.000 0.500 0.000
0.000 0.000 0.500
0.500 0.000 0.000
0.000 0.000 0.000
```

=====

Number 1: DOS at the Fermi energy 4.1 states/eV/cell, total DFT energy (no corrections) -2.97 eV/atom. Number 2: DOS at the Fermi energy 2.4 states/eV/cell, total DFT energy (no corrections) -2.74 eV/atom. Number 3: DOS at the Fermi energy 6.7 states/eV/cell, total DFT energy (no corrections) -3.04 eV/atom. Number 4: DOS at the Fermi energy 5.2 states/eV/cell, total DFT energy (no corrections) -4.18 eV/atom. Number 5: DOS at the Fermi energy 5.3 states/eV/cell, total DFT energy (no corrections) -2.82 eV/atom. Number 6: DOS at the Fermi energy 9.5 states/eV/cell, total DFT energy (no corrections) -2.11 eV/atom.